No. 1
HfBiTe2: relaxed, PBE.

Formation energy without anion corrections: -460 meV per atom
Final energy: -65.9 eV/cell
Total magnetization: 0.0000 μB per atom

Lattice parameters (Å, degrees): 3.8275 3.8275 30.0525 90.00 90.00 120.00
Last column: nearest neighbours and their distance in Å.
Space group R-3m (No. 166, hexagonal axes)
Symmetry-distinct sites (fractional):
Hf  0.0000  0.0000  0.0000  6 Te 2.87
Bi  0.0000  0.0000  0.5000  2 Te 3.17
Te  0.0000  0.0000  0.3944  3 Hf 2.87, 1 Bi 3.17



No. 2
Hf4BiTe: relaxed, PBE.

Formation energy without anion corrections: 170 meV per atom
Final energy: -183.3 eV/cell
Total magnetization: 0.0000 μB per atom

Lattice parameters (Å, degrees): 7.5889 20.5352 5.4697 90.00 130.41 90.00
Last column: nearest neighbours and their distance in Å.
Space group C2/c (No. 15)
Symmetry-distinct sites (fractional):
Hf  0.1254  0.2297  0.1313  5 Hf 2.92-3.26, 2 Te 2.93-2.94, 1 Bi 3.09
Hf  0.2285  0.4704  0.0974  1 Te 2.95, 5 Hf 2.99-3.29, 2 Bi 3.06-3.07
Bi  0.0000  0.0968  0.2500  6 Hf 3.06-3.09
Te  0.0000  0.3478  0.7500  6 Hf 2.93-2.95



No. 3
Hf2BiTe: relaxed, PBE.

Formation energy without anion corrections: -186 meV per atom
Final energy: -83.0 eV/cell
Total magnetization: 0.0000 μB per atom

Lattice parameters (Å, degrees): 3.8107 3.8107 23.8338 90.00 90.00 120.00
Last column: nearest neighbours and their distance in Å.
Space group R3m (No. 160, hexagonal axes)
Symmetry-distinct sites (fractional):
Hf  0.0000  0.0000  0.0000  3 Te 2.96, 3 Bi 2.97
Hf  0.0000  0.0000  0.1668  3 Bi 2.96, 3 Te 2.97
Bi  0.0000  0.0000  0.7503  6 Hf 2.96-2.97
Te  0.0000  0.0000  0.5837  6 Hf 2.96-2.97



No. 4
HfBiTe2: relaxed, PBE.

Formation energy without anion corrections: -17 meV per atom
Final energy: -80.8 eV/cell
Total magnetization: 0.0000 μB per atom

Lattice parameters (Å, degrees): 8.1933 8.1933 7.3018 90.00 90.00 90.00
Last column: nearest neighbours and their distance in Å.
Space group I-42d (No. 122)
Symmetry-distinct sites (fractional):
Hf  0.0000  0.0000  0.0000  4 Te 2.85
Bi  0.0000  0.0000  0.5000  4 Te 3.24
Te  0.2145  0.2500  0.1250  2 Hf 2.85



No. 5
Hf2Tl2BiTe6: relaxed, PBE.

Formation energy without anion corrections: -511 meV per atom
Final energy: -106.0 eV/cell
Total magnetization: 0.0401 μB per atom

Lattice parameters (Å, degrees): 7.3586 12.6933 8.6310 90.00 103.92 90.00
Last column: nearest neighbours and their distance in Å.
Space group C2/m (No. 12)
Symmetry-distinct sites (fractional):
Hf  0.0000  0.1528  0.0000  6 Te 2.89-2.99
Tl  0.0000  0.3381  0.5000  6 Te 3.46-3.48
Bi  0.0000  0.5000  0.0000  6 Te 3.13-3.18
Te  0.2105  0.0000  0.2199  2 Hf 2.89, 1 Bi 3.18
Te  0.2339  0.3187  0.1987  2 Hf 2.92-2.99, 1 Bi 3.13



No. 6
HfTl3Bi2Te6: relaxed, PBE.

Formation energy without anion corrections: -376 meV per atom
Final energy: -96.4 eV/cell
Total magnetization: 0.0000 μB per atom

Lattice parameters (Å, degrees): 7.9150 13.4623 8.3189 90.00 108.11 90.00
Last column: nearest neighbours and their distance in Å.
Space group C2/m (No. 12)
Symmetry-distinct sites (fractional):
Hf  0.0000  0.0000  0.0000  6 Te 2.93-2.94
Tl  0.0000  0.1693  0.5000  6 Te 3.41-3.60
Tl  0.0000  0.5000  0.5000  6 Te 3.42-3.64
Bi  0.0000  0.3331  0.0000  6 Te 3.16-3.20
Te  0.2232  0.1549  0.2098  1 Hf 2.93, 2 Bi 3.16-3.20
Te  0.2376  0.0000  0.7894  1 Hf 2.94, 2 Bi 3.19



No. 7
Hf2ThBi: relaxed, PBE.

Final energy: -31.3 eV/cell
Total magnetization: 0.0001 μB per atom

Lattice parameters (Å, degrees): 3.8155 3.8155 6.9869 90.00 90.00 90.00
Last column: nearest neighbours and their distance in Å.
Space group P4/mmm (No. 123)
Symmetry-distinct sites (fractional):
Hf  0.0000  0.0000  0.2332  4 Bi 3.15, 1 Hf 3.26, 4 Th 3.28
Th  0.5000  0.5000  0.5000  8 Hf 3.28, 2 Bi 3.49
Bi  0.5000  0.5000  0.0000  8 Hf 3.15, 2 Th 3.49



No. 8
HfThBi2: relaxed, PBE.

Final energy: -73.2 eV/cell
Total magnetization: 0.0068 μB per atom

Lattice parameters (Å, degrees): 3.4243 3.4243 35.1330 90.00 90.00 120.00
Last column: nearest neighbours and their distance in Å.
Space group R-3m (No. 166, hexagonal axes)
Symmetry-distinct sites (fractional):
Hf  0.0000  0.0000  0.0000  2 Bi 3.02
Th  0.0000  0.0000  0.5000  6 Th 3.42, 6 Bi 3.46
Bi  0.0000  0.0000  0.0859  1 Hf 3.02



No. 9
HfTh2Bi: relaxed, PBE.

Final energy: -28.9 eV/cell
Total magnetization: 0.2375 μB per atom

Lattice parameters (Å, degrees): 4.0858 4.0858 7.1340 90.00 90.00 90.00
Last column: nearest neighbours and their distance in Å.
Space group P4/mmm (No. 123)
Symmetry-distinct sites (fractional):
Hf  0.0000  0.0000  0.0000  8 Th 3.40, 2 Bi 3.57
Th  0.5000  0.5000  0.2505  4 Bi 3.39, 4 Hf 3.40, 2 Th 3.56-3.57
Bi  0.0000  0.0000  0.5000  8 Th 3.39, 2 Hf 3.57



No. 10
HfTh2Bi: relaxed, PBE.

Final energy: -83.5 eV/cell
Total magnetization: 0.0002 μB per atom

Lattice parameters (Å, degrees): 3.4136 3.4136 36.4785 90.00 90.00 120.00
Last column: nearest neighbours and their distance in Å.
Space group R-3m (No. 166, hexagonal axes)
Symmetry-distinct sites (fractional):
Hf  0.0000  0.0000  0.0000  6 Th 3.37, 6 Hf 3.41
Th  0.0000  0.0000  0.4083  1 Bi 3.35, 3 Hf 3.37, 6 Th 3.41
Bi  0.0000  0.0000  0.5000  2 Th 3.35, 6 Bi 3.41



No. 11
HfThBi2: relaxed, PBE.

Final energy: -26.0 eV/cell
Total magnetization: 0.0000 μB per atom

Lattice parameters (Å, degrees): 3.7551 3.7551 7.7665 90.00 90.00 90.00
Last column: nearest neighbours and their distance in Å.
Space group P4/mmm (No. 123)
Symmetry-distinct sites (fractional):
Hf  0.0000  0.0000  0.0000  8 Bi 3.17
Th  0.0000  0.0000  0.5000  8 Bi 3.41, 4 Th 3.76
Bi  0.5000  0.5000  0.2239  4 Hf 3.17, 4 Th 3.41, 1 Bi 3.48



No. 12
Hf2ThBi: relaxed, PBE.

Final energy: -122.9 eV/cell
Total magnetization: 0.0003 μB per atom

Lattice parameters (Å, degrees): 7.3481 7.3481 7.3481 90.00 90.00 90.00
Last column: nearest neighbours and their distance in Å.
Space group Fm-3m (No. 225)
Symmetry-distinct sites (fractional):
Hf  0.2500  0.2500  0.2500  4 Th 3.18, 4 Bi 3.18
Th  0.0000  0.0000  0.0000  8 Hf 3.18
Bi  0.0000  0.0000  0.5000  8 Hf 3.18



No. 13
HfTh2Bi: relaxed, PBE.

Final energy: -29.1 eV/cell
Total magnetization: 0.0000 μB per atom

Lattice parameters (Å, degrees): 4.8773 4.8773 4.7465 90.00 90.00 90.00
Last column: nearest neighbours and their distance in Å.
Space group P4/mmm (No. 123)
Symmetry-distinct sites (fractional):
Hf  0.0000  0.0000  0.0000  8 Th 3.40, 4 Bi 3.45
Th  0.0000  0.5000  0.5000  4 Hf 3.40, 4 Bi 3.40, 4 Th 3.45
Bi  0.5000  0.5000  0.0000  8 Th 3.40, 4 Hf 3.45



No. 14
Hf4TiBi: relaxed, PBE.

Final energy: -48.9 eV/cell
Total magnetization: 0.0000 μB per atom

Lattice parameters (Å, degrees): 4.6861 4.6861 6.9847 90.00 90.00 90.00
Last column: nearest neighbours and their distance in Å.
Space group P4/mmm (No. 123)
Symmetry-distinct sites (fractional):
Hf  0.0000  0.5000  0.2155  2 Ti 2.79, 1 Hf 3.01, 2 Bi 3.07
Ti  0.0000  0.0000  0.0000  8 Hf 2.79
Bi  0.5000  0.5000  0.5000  8 Hf 3.07



No. 15
Hf2Ti2Bi3: relaxed, PBE.

Final energy: -94.2 eV/cell
Total magnetization: 0.0001 μB per atom

Lattice parameters (Å, degrees): 6.4849 7.3125 7.5256 90.00 109.77 90.00
Last column: nearest neighbours and their distance in Å.
Space group P2_1/c (No. 14)
Symmetry-distinct sites (fractional):
Hf  0.0581  0.1439  0.3689  4 Bi 2.85-3.07, 1 Ti 2.96, 1 Hf 3.15
Ti  0.3579  0.6746  0.9602  3 Bi 2.87-2.91, 1 Hf 2.96, 1 Ti 3.09
Bi  0.0000  0.0000  0.0000  4 Hf 2.85-2.87
Bi  0.3764  0.0668  0.7658  3 Ti 2.87-2.91, 2 Hf 3.05-3.07



No. 16
Hf2TiBi: relaxed, PBE.

Final energy: -93.7 eV/cell
Total magnetization: 0.0000 μB per atom

Lattice parameters (Å, degrees): 3.2731 3.2731 29.3666 90.00 90.00 120.00
Last column: nearest neighbours and their distance in Å.
Space group R3m (No. 160, hexagonal axes)
Symmetry-distinct sites (fractional):
Hf  0.0000  0.0000  0.0000  3 Ti 2.94, 3 Bi 3.26, 6 Hf 3.27
Hf  0.0000  0.0000  0.1539  3 Ti 2.96, 3 Bi 3.23, 6 Hf 3.27
Ti  0.0000  0.0000  0.7432  6 Hf 2.94-2.96, 6 Ti 3.27
Bi  0.0000  0.0000  0.5763  6 Hf 3.23-3.26, 6 Bi 3.27



No. 17
HfTi12Bi6: relaxed, PBE.

Final energy: -380.5 eV/cell
Total magnetization: 0.0000 μB per atom

Lattice parameters (Å, degrees): 10.6131 10.6131 12.0657 90.00 90.00 120.00
Last column: nearest neighbours and their distance in Å.
Space group R-3 (No. 148, hexagonal axes)
Symmetry-distinct sites (fractional):
Hf  0.0000  0.0000  0.0000  6 Ti 2.87, 6 Bi 3.13
Ti  0.0464  0.8720  0.8064  3 Ti 2.74-2.88, 1 Hf 2.87, 1 Bi 2.96
Ti  0.0512  0.1866  0.4081  3 Ti 2.74-2.84, 3 Bi 2.85-2.99
Bi  0.0158  0.5990  0.7159  7 Ti 2.85-3.12, 1 Hf 3.13



No. 18
HfTi3Bi2: relaxed, PBE.

Final energy: -167.4 eV/cell
Total magnetization: 0.0000 μB per atom

Lattice parameters (Å, degrees): 17.2134 3.8119 10.1628 90.00 122.66 90.00
Last column: nearest neighbours and their distance in Å.
Space group C2/m (No. 12)
Symmetry-distinct sites (fractional):
Hf  0.1105  0.0000  0.0534  3 Ti 3.02-3.36, 6 Bi 3.03-3.12, 1 Hf 3.34
Ti  0.0400  0.0000  0.6744  7 Ti 2.78-3.03, 3 Bi 2.93-2.98
Ti  0.0899  0.5000  0.5346  5 Ti 2.78-2.83, 3 Bi 2.92-2.96
Ti  0.1756  0.5000  0.9018  5 Ti 2.93-3.19, 4 Bi 2.98-3.18, 2 Hf 3.02
Bi  0.0354  0.5000  0.2037  4 Ti 2.93-3.18, 4 Hf 3.11-3.12
Bi  0.2320  0.0000  0.7435  6 Ti 2.92-3.06, 2 Hf 3.03



No. 19
Hf3TiBi: relaxed, PBE.

Final energy: -166.3 eV/cell
Total magnetization: 0.0000 μB per atom

Lattice parameters (Å, degrees): 10.4261 3.1309 13.8365 90.00 90.00 90.00
Last column: nearest neighbours and their distance in Å.
Space group Pnma (No. 62)
Symmetry-distinct sites (fractional):
Hf  0.1071  0.2500  0.0631  3 Ti 2.98-3.01, 7 Hf 3.04-3.24, 2 Bi 3.27
Hf  0.1196  0.7500  0.6677  2 Ti 2.94, 5 Hf 3.13-3.20
Hf  0.1372  0.7500  0.2503  2 Ti 2.91-2.96, 6 Hf 3.04-3.19, 2 Bi 3.25
Ti  0.1099  0.2500  0.8477  7 Hf 2.91-3.01, 2 Ti 3.13, 2 Bi 3.25
Bi  0.1569  0.2500  0.4555  2 Bi 3.13, 7 Hf 3.25-3.35, 2 Ti 3.25



No. 20
Hf2TiBi: relaxed, PBE.

Final energy: -31.8 eV/cell
Total magnetization: 0.0001 μB per atom

Lattice parameters (Å, degrees): 4.2658 4.2658 4.6826 90.00 90.00 90.00
Last column: nearest neighbours and their distance in Å.
Space group P4/mmm (No. 123)
Symmetry-distinct sites (fractional):
Hf  0.0000  0.5000  0.0000  4 Hf 3.02, 4 Bi 3.17, 4 Ti 3.17
Ti  0.0000  0.0000  0.5000  4 Bi 3.02, 8 Hf 3.17
Bi  0.5000  0.5000  0.5000  4 Ti 3.02, 8 Hf 3.17



No. 21
Hf2TiBi: relaxed, PBE.

Final energy: -125.9 eV/cell
Total magnetization: 0.0000 μB per atom

Lattice parameters (Å, degrees): 3.2272 18.1544 6.2891 90.00 90.08 90.00
Last column: nearest neighbours and their distance in Å.
Space group Cc (No. 9)
Symmetry-distinct sites (fractional):
Hf  0.0000  0.1054  0.0000  4 Ti 2.95-2.96, 4 Hf 3.14-3.23, 2 Bi 3.16-3.17
Hf  0.9995  0.1054  0.5000  4 Ti 2.95-2.96, 4 Hf 3.14-3.23, 2 Bi 3.16-3.17
Ti  0.0001  0.5000  0.2501  8 Hf 2.95-2.96, 4 Ti 3.14-3.23
Bi  0.2521  0.2498  0.2501  4 Hf 3.16-3.17, 6 Bi 3.23-3.54



No. 22
HfTi2Bi: relaxed, PBE.

Final energy: -30.0 eV/cell
Total magnetization: 0.0000 μB per atom

Lattice parameters (Å, degrees): 3.5797 3.5797 6.3171 90.00 90.00 90.00
Last column: nearest neighbours and their distance in Å.
Space group P4/mmm (No. 123)
Symmetry-distinct sites (fractional):
Hf  0.0000  0.0000  0.0000  8 Ti 2.98, 2 Bi 3.16
Ti  0.5000  0.5000  0.2504  4 Bi 2.98, 4 Hf 2.98, 2 Ti 3.15-3.16
Bi  0.0000  0.0000  0.5000  8 Ti 2.98, 2 Hf 3.16



No. 23
HfTi4Bi4: relaxed, PBE.

Final energy: -111.8 eV/cell
Total magnetization: 0.0001 μB per atom

Lattice parameters (Å, degrees): 8.5402 8.5402 5.6871 90.00 90.00 90.00
Last column: nearest neighbours and their distance in Å.
Space group P4_2/n (No. 86, origin choice 2)
Symmetry-distinct sites (fractional):
Hf  0.2500  0.2500  0.2500  4 Bi 2.93, 4 Ti 2.93
Ti  0.0591  0.1474  0.6505  2 Ti 2.85, 1 Hf 2.93, 4 Bi 2.97-3.15
Bi  0.0744  0.8305  0.8646  1 Hf 2.93, 4 Ti 2.97-3.15



No. 24
Hf3TiBi: relaxed, PBE.

Final energy: -37.8 eV/cell
Total magnetization: 0.0000 μB per atom

Lattice parameters (Å, degrees): 4.9987 4.9987 4.9987 90.00 90.00 90.00
Last column: nearest neighbours and their distance in Å.
Space group Pm-3m (No. 221)
Symmetry-distinct sites (fractional):
Hf  0.0000  0.0000  0.5000  2 Ti 2.50
Ti  0.0000  0.0000  0.0000  6 Hf 2.50
Bi  0.5000  0.5000  0.5000  12 Hf 3.53